Here is a geometry-optimized SrPrCuAg structure from Alexandria. Energies are from PBE.

Cell: 7.5289 7.5289 7.5289 Å, 90.00 90.00 90.00°
Space group F-43m (No. 216)
Symmetry-distinct sites (fractional):
Sr: 0.0000 0.0000 0.0000
Pr: 0.0000 0.0000 0.5000
Cu: 0.2500 0.2500 0.2500
Ag: 0.2500 0.2500 0.7500

Summary:
For the density of states at the Fermi level, the calculation gives 10.161 states/eV per cell. As for the formation energy: -124 meV/atom.



Here is a geometry-optimized TbPrCuAg structure from Alexandria. Energies are from PBE.

Cell: 7.3010 7.3010 7.3010 Å, 90.00 90.00 90.00°
Space group F-43m (No. 216)
Symmetry-distinct sites (fractional):
Tb: 0.0000 0.0000 0.0000
Pr: 0.0000 0.0000 0.5000
Cu: 0.2500 0.2500 0.2500
Ag: 0.2500 0.2500 0.7500

Summary:
For the density of states at the Fermi level, the calculation gives 16.841 states/eV per cell. As for the formation energy: -195 meV/atom. As for the energy above the most stable polymorph in this dataset: 36 meV/atom.



Here is a geometry-optimized TbPrCuAg structure from Alexandria. Energies are from PBE.

Cell: 3.6092 3.6092 7.3793 Å, 90.00 90.00 90.00°
Space group P4mm (No. 99)
Symmetry-distinct sites (fractional):
Tb: 0.0000 0.0000 0.0000
Pr: 0.0000 0.0000 0.4731
Cu: 0.5000 0.5000 0.2150
Ag: 0.5000 0.5000 0.7568

Summary:
For the density of states at the Fermi level, the calculation gives 2.574 states/eV per cell. As for the formation energy: -232 meV/atom. As for the energy above the most stable polymorph in this dataset: 0 meV/atom.



Here is a geometry-optimized PrCuAg2Te4 structure from Alexandria. Energies are from PBE.

Cell: 4.3220 14.8614 13.7783 Å, 90.00 90.00 90.00°
Space group Cmcm (No. 63)
Symmetry-distinct sites (fractional):
Pr: 0.0000 0.0987 0.2500
Cu: 0.0000 0.1598 0.7500
Ag: 0.0000 0.3732 0.0602
Te: 0.0000 0.0000 0.0000
Te: 0.0000 0.2926 0.6226
Te: 0.0000 0.4379 0.2500

Summary:
For the density of states at the Fermi level, the calculation gives 16.768 states/eV per cell. The uncorrected formation energy is -3.1 eV per formula unit.